A relaxed LiGe2BiO6 crystal, computed with PBE.

Values from the calculation:
Formation energy from raw total energies, eV per atom: -1.631
Crystal system: monoclinic
Calculated volume, Å³ per cell: 568

a = 10.5079 Å, b = 9.9600 Å, c = 5.7786 Å
α = 90.00°, β = 110.20°, γ = 90.00°
Last column: nearest neighbours and their distance in Å.
Space group C2/c (No. 15)
Asymmetric unit:
Li (0.0000, 0.2297, 0.2500) (multiplicity 4)  4 O 1.98-2.07
Ge (0.1952, 0.4181, 0.7101) (multiplicity 8)  4 O 1.75-1.80
Bi (0.0000, 0.1213, 0.7500) (multiplicity 4)  4 O 2.26-2.37
O (0.1151, 0.2660, 0.5952) (multiplicity 8)  1 Ge 1.75
O (0.1245, 0.0875, 0.1750) (multiplicity 8)  1 Ge 1.78
O (0.1431, 0.4599, 0.9673) (multiplicity 8)  2 Ge 1.79-1.80

=====

A relaxed LiGe2BiP crystal, computed with PBE.

Values from the calculation:
Formation energy, eV/atom: 0.414
Crystal system: tetragonal
Calculated volume, Å³ per cell: 132

a = 4.8893 Å, b = 4.8893 Å, c = 5.5165 Å
α = 90.00°, β = 90.00°, γ = 90.00°
Last column: nearest neighbours and their distance in Å.
Space group P4/mmm (No. 123)
Asymmetric unit:
Li (0.0000, 0.0000, 0.0000) (multiplicity 1)  4 Bi 3.46, 8 Ge 3.69
Ge (0.0000, 0.5000, 0.5000) (multiplicity 2)  2 P 2.44
Bi (0.5000, 0.5000, 0.0000) (multiplicity 1)  2 P 2.76
P (0.5000, 0.5000, 0.5000) (multiplicity 1)  4 Ge 2.44

=====

A relaxed LiGeBiPb crystal, computed with PBE.

Values from the calculation:
Formation energy, eV/atom: 0.019
Crystal system: cubic
Calculated volume, Å³ per cell: 400

a = 7.3667 Å, b = 7.3667 Å, c = 7.3667 Å
α = 90.00°, β = 90.00°, γ = 90.00°
Last column: nearest neighbours and their distance in Å.
Space group F-43m (No. 216)
Asymmetric unit:
Li (0.0000, 0.0000, 0.0000) (multiplicity 4)  4 Pb 3.19, 4 Bi 3.19
Ge (0.0000, 0.0000, 0.5000) (multiplicity 4)  4 Pb 3.19, 4 Bi 3.19
Bi (0.2500, 0.2500, 0.7500) (multiplicity 4)  4 Ge 3.19, 4 Li 3.19
Pb (0.2500, 0.2500, 0.2500) (multiplicity 4)  4 Ge 3.19, 4 Li 3.19